This record from Alexandria via LeMat-Bulk describes a relaxed La7Pm12Dy crystal. The functional is PBE.

a b c (Å): 10.3950 10.3950 10.3950
angles (deg): 113.22 113.22 113.22
Atoms (fractional coordinates):
Pm (0.2144, 0.5003, 0.7859)
Pm (0.9891, 0.6601, 0.6602)
Pm (0.2141, 0.7856, 0.4997)
Pm (0.6601, 0.6602, 0.9891)
Pm (0.4997, 0.2141, 0.7856)
Pm (0.3398, 0.0109, 0.3399)
Pm (0.3399, 0.3398, 0.0109)
Pm (0.0109, 0.3399, 0.3398)
Pm (0.5003, 0.7859, 0.2144)
Pm (0.7856, 0.4997, 0.2141)
Pm (0.7859, 0.2144, 0.5003)
Pm (0.6602, 0.9891, 0.6601)
La (0.4297, 0.0856, 0.0858)
La (0.0856, 0.0858, 0.4297)
La (0.9142, 0.5703, 0.9144)
La (0.9144, 0.9142, 0.5703)
La (0.0858, 0.4297, 0.0856)
La (0.5703, 0.9144, 0.9142)
La (0.5000, 0.5000, 0.5000)
Dy (0.0000, 0.0000, 0.0000)

Results
For the total energy, the calculation gives -92.4 eV/cell. Its energy above the most stable polymorph in this dataset is 0 meV/atom. As for the symmetry: No. 166.

---

This record from Alexandria via LeMat-Bulk describes a relaxed Rb3SbAu crystal. The functional is PBE.

a b c (Å): 10.1421 7.3597 11.6654
angles (deg): 90.11 90.00 90.00
Atoms (fractional coordinates):
Au (0.2578, 0.0415, 0.1250)
Au (0.7422, 0.9585, 0.8750)
Au (0.2422, 0.0415, 0.6250)
Au (0.7578, 0.9585, 0.3750)
Rb (0.9599, 0.7436, 0.1074)
Rb (0.7976, 0.2736, 0.6245)
Rb (0.5440, 0.7584, 0.1432)
Rb (0.4560, 0.2416, 0.8568)
Rb (0.0401, 0.2564, 0.8926)
Rb (0.2976, 0.7264, 0.8755)
Rb (0.5401, 0.7436, 0.6074)
Rb (0.9560, 0.7584, 0.6432)
Rb (0.7024, 0.2736, 0.1245)
Rb (0.4599, 0.2564, 0.3926)
Rb (0.2024, 0.7264, 0.3755)
Rb (0.0440, 0.2416, 0.3568)
Sb (0.2292, 0.4096, 0.6259)
Sb (0.7708, 0.5904, 0.3741)
Sb (0.2708, 0.4096, 0.1259)
Sb (0.7292, 0.5904, 0.8741)

Results
The uncorrected formation energy is -0.32 eV per atom. For the total energy, the calculation gives -47.6 eV/cell. Its energy above the most stable polymorph in this dataset is 0 meV/atom. As for the symmetry: No. 14.

---

This record from Alexandria via LeMat-Bulk describes a relaxed Tb4C2F crystal. The functional is PBE.

a b c (Å): 7.3348 7.2487 7.2487
angles (deg): 59.90 59.61 59.61
Atoms (fractional coordinates):
Tb (0.7567, 0.7629, 0.7236)
Tb (0.2433, 0.7764, 0.7371)
Tb (0.2262, 0.7570, 0.2570)
Tb (0.7598, 0.7570, 0.2570)
Tb (0.2433, 0.2371, 0.2764)
Tb (0.7738, 0.2430, 0.7430)
Tb (0.7567, 0.2236, 0.2629)
Tb (0.2402, 0.2430, 0.7430)
C (0.0000, 0.0000, 0.5000)
C (0.0000, 0.5000, 0.5000)
C (0.0000, 0.0000, 0.0000)
C (0.5000, 0.0000, 0.5000)
F (0.5000, 0.5000, 0.0000)
F (0.0000, 0.5000, 0.0000)

Results
The uncorrected formation energy is -1.01 eV per atom. For the total energy, the calculation gives -91.8 eV/cell. As for the symmetry: No. 74.

---

This record from Alexandria via LeMat-Bulk describes a relaxed HfNbSe2F crystal. The functional is PBE.

a b c (Å): 5.0152 3.8072 5.0152
angles (deg): 90.00 90.00 90.00
Atoms (fractional coordinates):
Se (0.5000, 0.0000, 0.0000)
Se (0.0000, 0.0000, 0.5000)
Hf (0.5000, 0.5000, 0.5000)
Nb (0.0000, 0.5000, 0.0000)
F (0.0000, 0.0000, 0.0000)

Results
The uncorrected formation energy is -0.29 eV per atom. For the total energy, the calculation gives -30.3 eV/cell. As for the symmetry: No. 123.

---

This record from Alexandria via LeMat-Bulk describes a relaxed B2C crystal. The functional is PBE.

a b c (Å): 4.7874 4.7874 4.3005
angles (deg): 80.62 80.62 115.62
Atoms (fractional coordinates):
B (0.3711, 0.6049, 0.1606)
B (0.0057, 0.6926, 0.0376)
B (0.6049, 0.3711, 0.1606)
B (0.6926, 0.0057, 0.0376)
B (0.9535, 0.9535, 0.4908)
B (0.4732, 0.0388, 0.4869)
B (0.0388, 0.4732, 0.4869)
B (0.3949, 0.3949, 0.5370)
C (0.7568, 0.0997, 0.6555)
C (0.0997, 0.7568, 0.6555)
C (0.3281, 0.3281, 0.9286)
C (0.0307, 0.0307, 0.1124)

Results
For the total energy, the calculation gives -85.1 eV/cell. Its energy above the most stable polymorph in this dataset is 253 meV/atom. As for the symmetry: No. 8.

---

This record from Alexandria via LeMat-Bulk describes a relaxed ZnCuAsSe2 crystal. The functional is PBE.

a b c (Å): 4.9438 4.9438 4.5178
angles (deg): 90.00 90.00 90.00
Atoms (fractional coordinates):
Se (0.5000, 0.0000, 0.0000)
Se (0.0000, 0.5000, 0.0000)
As (0.0000, 0.0000, 0.5000)
Zn (0.5000, 0.5000, 0.5000)
Cu (0.0000, 0.0000, 0.0000)

Results
The uncorrected formation energy is 0.55 eV per atom. For the total energy, the calculation gives -14.3 eV/cell. Its energy above the most stable polymorph in this dataset is 0 meV/atom. As for the symmetry: No. 123.

---

This record from Alexandria via LeMat-Bulk describes a relaxed Sc8Cd2In crystal. The functional is PBE.

a b c (Å): 4.9120 7.9023 8.0104
angles (deg): 118.43 107.85 90.00
Atoms (fractional coordinates):
Sc (0.5909, 0.4568, 0.1819)
Sc (0.6831, 0.9436, 0.3663)
Sc (0.3169, 0.0564, 0.6337)
Sc (0.4091, 0.5432, 0.8181)
Sc (0.9372, 0.2788, 0.8745)
Sc (0.1395, 0.1823, 0.2789)
Sc (0.0628, 0.7212, 0.1255)
Sc (0.8605, 0.8177, 0.7211)
Cd (0.7764, 0.3818, 0.5528)
Cd (0.2236, 0.6182, 0.4472)
In (0.5000, 0.0000, 0.0000)

Results
For the total energy, the calculation gives -57.3 eV/cell. Its energy above the most stable polymorph in this dataset is 0 meV/atom. As for the symmetry: No. 12.

---

This record from Alexandria via LeMat-Bulk describes a relaxed PmSmSiPt crystal. The functional is PBE.

a b c (Å): 5.0999 5.0999 5.0999
angles (deg): 60.00 60.00 60.00
Atoms (fractional coordinates):
Pm (0.0000, 0.0000, 0.0000)
Sm (0.5000, 0.5000, 0.5000)
Pt (0.7500, 0.7500, 0.7500)
Si (0.2500, 0.2500, 0.2500)

Results
The uncorrected formation energy is -0.76 eV per atom. For the total energy, the calculation gives -24.0 eV/cell. Its energy above the most stable polymorph in this dataset is 202 meV/atom. As for the symmetry: No. 216.

---

This record from Alexandria via LeMat-Bulk describes a relaxed InC2S crystal. The functional is PBE.

a b c (Å): 4.8090 4.8090 5.6827
angles (deg): 64.97 64.97 90.00
Atoms (fractional coordinates):
C (0.3750, 0.4475, 0.7500)
C (0.5525, 0.1250, 0.2500)
C (0.8750, 0.8025, 0.7500)
C (0.1975, 0.6250, 0.2500)
In (0.0000, 0.0000, 0.0000)
In (0.7500, 0.2500, 0.5000)
S (0.5000, 0.5000, 0.0000)
S (0.2500, 0.7500, 0.5000)

Results
The uncorrected formation energy is 1.48 eV per atom. For the total energy, the calculation gives -38.8 eV/cell. Its energy above the most stable polymorph in this dataset is 0 meV/atom. As for the symmetry: No. 122.

---

This record from Alexandria via LeMat-Bulk describes a relaxed RbCaAgPd2 crystal. The functional is PBE.

a b c (Å): 5.2750 5.6559 5.2750
angles (deg): 90.00 90.00 90.00
Atoms (fractional coordinates):
Rb (0.0000, 0.0000, 0.0000)
Ag (0.0000, 0.5000, 0.0000)
Pd (0.5000, 0.0000, 0.0000)
Pd (0.0000, 0.0000, 0.5000)
Ca (0.5000, 0.5000, 0.5000)

Results
For the total energy, the calculation gives -11.8 eV/cell. As for the symmetry: No. 123.

---

This record from Alexandria via LeMat-Bulk describes a relaxed Li4AcPd2 crystal. The functional is PBE.

a b c (Å): 4.1956 4.1259 8.4135
angles (deg): 104.19 90.00 90.00
Atoms (fractional coordinates):
Pd (0.5000, 0.5846, 0.1691)
Pd (0.5000, 0.4154, 0.8309)
Li (0.0000, 0.6802, 0.3604)
Li (0.5000, 0.1882, 0.3763)
Li (0.0000, 0.3198, 0.6396)
Li (0.5000, 0.8118, 0.6237)
Ac (0.0000, 0.0000, 0.0000)

Results
For the total energy, the calculation gives -25.1 eV/cell. Its energy above the most stable polymorph in this dataset is 9 meV/atom. As for the symmetry: No. 65.

---

This record from Alexandria via LeMat-Bulk describes a relaxed LaCd2Rh crystal. The functional is PBE.

a b c (Å): 3.3829 3.3829 7.8279
angles (deg): 90.00 90.00 90.00
Atoms (fractional coordinates):
Cd (0.0000, 0.0000, 0.6930)
Cd (0.0000, 0.0000, 0.3070)
La (0.5000, 0.5000, 0.0000)
Rh (0.5000, 0.5000, 0.5000)

Results
For the total energy, the calculation gives -14.9 eV/cell. As for the symmetry: No. 123.

---

| no. | V (Å³/cell) |
| --- | --- |
| 1 | 720 |
| 2 | 871 |
| 3 | 271 |
| 4 | 96 |
| 5 | 85 |
| 6 | 110 |
| 7 | 256 |
| 8 | 94 |
| 9 | 105 |
| 10 | 157 |
| 11 | 141 |
| 12 | 90 |